LaTl2ZnSb2 PBE optimized geometry; M_tot = 0.000 μB/atom; formation energy (no corrections) = -2.4 eV/f.u.; space-group type = Pmc2_1
1.0
4.599 0.000 0.000
0.000 9.987 0.000
0.000 0.000 7.958
La Tl Zn Sb
2 4 2 4
Cartesian
0.000 0.524 0.000
0.000 9.463 3.979
0.000 3.689 2.567
0.000 6.297 6.546
2.299 3.844 7.890
2.299 6.143 3.910
2.299 1.454 5.257
2.299 8.533 1.278
0.000 2.848 5.611
0.000 7.138 1.632
2.299 1.146 2.286
2.299 8.841 6.265